No. 1
First-principles (GGA-PBE) data for LiGePt2 after structural relaxation, as listed in the Alexandria database.

- calculated density (g cm⁻³) = 13.4
- energy relative to the elements (eV/atom) = -0.463

Unit cell a=3.212 b=3.212 c=5.639 alpha=90.00 beta=90.00 gamma=90.00
Fractional coordinates of all 4 atoms:
Li  0.000  0.000  0.000
Ge  0.000  0.000  0.500
Pt  0.500  0.500  0.248
Pt  0.500  0.500  0.752



No. 2
First-principles (GGA-PBE) data for CrHAu3 after structural relaxation, as listed in the Alexandria database.

- energy above the most stable polymorph in this dataset (meV/atom) = 0
- calculated density (g cm⁻³) = 14.4

Unit cell a=4.206 b=4.206 c=4.206 alpha=90.00 beta=90.00 gamma=90.00
Fractional coordinates of all 5 atoms:
Cr  0.000  0.000  0.000
H  0.500  0.500  0.500
Au  0.000  0.500  0.500
Au  0.500  0.000  0.500
Au  0.500  0.500  0.000



No. 3
First-principles (GGA-PBE) data for ScSnAu after structural relaxation, as listed in the Alexandria database.

- calculated density (g cm⁻³) = 9.4
- energy relative to the elements (eV/atom) = -0.537

Unit cell a=5.402 b=5.402 c=6.085 alpha=105.02 beta=105.02 gamma=48.62
Fractional coordinates of all 6 atoms:
Sc  0.000  0.000  0.000
Sc  0.684  0.684  0.399
Sn  0.320  0.320  0.742
Sn  0.998  0.998  0.494
Au  0.339  0.339  0.228
Au  0.669  0.669  0.920



No. 4
First-principles (GGA-PBE) data for TaP2AuCl after structural relaxation, as listed in the Alexandria database.

- energy above the most stable polymorph in this dataset (meV/atom) = 1026
- calculated density (g cm⁻³) = 7.4
- ΔE_f (raw) (kJ/mol of atoms) = 129.1

Unit cell a=4.777 b=4.777 c=4.675 alpha=90.00 beta=90.00 gamma=90.00
Fractional coordinates of all 5 atoms:
Ta  0.000  0.000  0.000
P  0.000  0.500  0.500
P  0.500  0.000  0.500
Au  0.500  0.500  0.500
Cl  0.500  0.500  0.000



No. 5
First-principles (GGA-PBE) data for LaCu3Ir after structural relaxation, as listed in the Alexandria database.

- energy above the most stable polymorph in this dataset (meV/atom) = 1688
- calculated density (g cm⁻³) = 7.5
- energy relative to the elements (eV/atom) = 1.892

Unit cell a=4.862 b=4.862 c=4.862 alpha=90.00 beta=90.00 gamma=90.00
Fractional coordinates of all 5 atoms:
La  0.000  0.000  0.000
Cu  0.000  0.000  0.500
Cu  0.000  0.500  0.000
Cu  0.500  0.000  0.000
Ir  0.500  0.500  0.500



No. 6
First-principles (GGA-PBE) data for MgHg2Br6 after structural relaxation, as listed in the Alexandria database.

- energy above the most stable polymorph in this dataset (meV/atom) = 15
- calculated density (g cm⁻³) = 5.1
- ΔE_f (raw) (kJ/mol of atoms) = -71.5

Unit cell a=9.064 b=9.064 c=7.289 alpha=97.21 beta=97.21 gamma=84.88
Fractional coordinates of all 18 atoms:
Mg  0.091  0.909  0.750
Mg  0.909  0.091  0.250
Hg  0.227  0.415  0.677
Hg  0.415  0.227  0.177
Hg  0.585  0.773  0.823
Hg  0.773  0.585  0.323
Br  0.033  0.183  0.604
Br  0.111  0.646  0.878
Br  0.183  0.033  0.104
Br  0.282  0.474  0.345
Br  0.354  0.889  0.622
Br  0.474  0.282  0.845
Br  0.526  0.718  0.155
Br  0.646  0.111  0.378
Br  0.718  0.526  0.655
Br  0.817  0.967  0.896
Br  0.889  0.354  0.122
Br  0.967  0.817  0.396



Summary of V in Å³/cell
58.2 74.4 127.7 106.7 114.9 587.7
(order as listed above)